Entry 1:
DFT (PBE) results for Ba4S2ClO2 after structural relaxation.

Results
Formation energy (no corrections) ... -2128 meV/atom

POSCAR file:
```
Ba4S2ClO2
1.0
-0.728 -4.046 -1.376
8.711 -1.252 -0.924
-3.651 0.167 8.269
Ba S Cl O
4 2 1 2
Direct
0.237 0.166 0.473
0.763 0.834 0.527
0.519 0.745 0.037
0.481 0.255 0.963
0.095 0.563 0.190
0.905 0.437 0.810
0.000 0.000 0.000
0.674 0.987 0.348
0.326 0.013 0.652
```

Entry 2:
DFT (PBE) results for BaSCl2O after structural relaxation.

Results
Energy above the most stable polymorph in this dataset ... 0.00 eV/f.u.
Formation energy (no corrections) ... -722 meV/atom

POSCAR file:
```
BaSCl2O
1.0
-3.613 2.757 -1.603
-2.717 -3.568 -0.013
-1.283 0.960 4.545
S Ba O Cl
1 1 1 2
Direct
0.000 0.500 0.000
0.500 0.500 0.500
0.000 0.000 0.000
0.000 0.000 0.500
0.500 0.000 0.000
```

Entry 3:
DFT (PBE) results for BaSCl2O after structural relaxation.

Results
Energy above the most stable polymorph in this dataset ... 2.87 eV/f.u.
Formation energy (no corrections) ... -149 meV/atom

POSCAR file:
```
BaSCl2O
1.0
-5.750 0.473 1.632
0.120 -5.632 2.054
1.910 2.257 6.076
S Ba O Cl
1 1 1 2
Direct
0.000 0.000 0.500
0.000 0.000 0.000
0.500 0.500 0.500
0.000 0.500 0.000
0.500 0.000 0.000
```

Entry 4:
DFT (PBE) results for Ba2ScCl2O2 after structural relaxation.

Results
Formation energy (no corrections) ... -2570 meV/atom

POSCAR file:
```
Ba2ScCl2O2
1.0
4.355 0.000 0.000
0.000 4.355 0.000
-2.177 -2.177 8.013
Ba Sc Cl O
2 1 2 2
Direct
0.386 0.386 0.771
0.614 0.614 0.229
0.000 0.000 0.000
0.175 0.175 0.350
0.825 0.825 0.650
0.000 0.500 0.000
0.500 0.000 0.000
```

Entry 5:
DFT (PBE) results for BaScClO2 after structural relaxation.

Results
Formation energy (no corrections) ... -2875 meV/atom

POSCAR file:
```
BaScClO2
1.0
4.075 0.000 0.000
0.000 4.075 0.000
0.000 0.000 6.394
Ba Sc Cl O
1 1 1 2
Direct
0.500 0.500 0.687
0.000 0.000 0.020
0.000 0.000 0.422
0.000 0.500 0.935
0.500 0.000 0.935
```

Entry 6:
DFT (PBE) results for Ba2SeCl4O2 after structural relaxation.

Results
Formation energy (no corrections) ... -1603 meV/atom

POSCAR file:
```
Ba2SeCl4O2
1.0
-3.124 -3.541 0.934
1.551 -0.374 7.042
-4.652 4.189 3.598
Ba Se Cl O
2 1 4 2
Direct
0.213 0.707 0.707
0.787 0.293 0.293
0.500 0.000 0.000
0.258 0.595 0.167
0.742 0.833 0.405
0.742 0.405 0.833
0.258 0.167 0.595
0.253 0.121 0.121
0.747 0.879 0.879
```

Entry 7:
DFT (PBE) results for BaSeClO2 after structural relaxation.

Results
Formation energy (no corrections) ... -272 meV/atom

POSCAR file:
```
BaSeClO2
1.0
4.526 0.000 0.000
0.000 4.692 0.000
0.000 0.000 4.526
O Ba Se Cl
2 1 1 1
Direct
0.000 0.000 0.500
0.500 0.000 0.000
0.500 0.500 0.500
0.000 0.500 0.000
0.000 0.000 0.000
```

Entry 8:
DFT (PBE) results for Ba2Se2ClO6 after structural relaxation.

Results
Formation energy (no corrections) ... -1646 meV/atom

POSCAR file:
```
Ba2Se2ClO6
1.0
4.738 0.888 -0.610
3.330 7.720 0.946
-1.251 -2.646 6.776
Ba Se Cl O
2 2 1 6
Direct
0.968 0.340 0.724
0.032 0.660 0.276
0.119 0.750 0.850
0.881 0.250 0.150
0.500 0.000 0.500
0.417 0.692 0.066
0.162 0.296 0.120
0.281 0.579 0.664
0.838 0.704 0.880
0.719 0.421 0.336
0.583 0.308 0.934
```

Entry 9:
DFT (PBE) results for Ba5SiCl6O4 after structural relaxation.

Results
Formation energy (no corrections) ... -2742 meV/atom

POSCAR file:
```
Ba5SiCl6O4
1.0
-7.504 2.175 -4.308
-1.091 -6.113 6.407
-4.563 7.145 8.258
Ba Cl O Si
10 12 8 2
Direct
0.923 0.765 0.134
0.235 0.077 0.366
0.077 0.235 0.866
0.765 0.923 0.634
0.568 0.313 0.980
0.687 0.432 0.520
0.432 0.687 0.020
0.313 0.568 0.480
0.799 0.201 0.250
0.201 0.799 0.750
0.000 0.500 0.000
0.500 0.000 0.500
0.243 0.757 0.250
0.757 0.243 0.750
0.979 0.280 0.452
0.720 0.021 0.048
0.021 0.720 0.548
0.280 0.979 0.952
0.142 0.199 0.134
0.801 0.858 0.366
0.858 0.801 0.866
0.199 0.142 0.634
0.764 0.476 0.286
0.524 0.236 0.214
0.236 0.524 0.714
0.476 0.764 0.786
0.598 0.557 0.132
0.443 0.402 0.368
0.402 0.443 0.868
0.557 0.598 0.632
0.422 0.578 0.750
0.578 0.422 0.250
```

Entry 10:
DFT (PBE) results for BaSmClO2 after structural relaxation.

Results
Formation energy (no corrections) ... -2919 meV/atom

POSCAR file:
```
BaSmClO2
1.0
4.315 0.000 0.000
0.000 4.315 0.000
0.000 0.000 6.725
Ba Sm Cl O
1 1 1 2
Direct
0.500 0.500 0.696
0.000 0.000 0.028
0.000 0.000 0.445
0.000 0.500 0.915
0.500 0.000 0.915
```

Entry 11:
DFT (PBE) results for Ba2SnCl2O2 after structural relaxation.

Results
Formation energy (no corrections) ... -2029 meV/atom

POSCAR file:
```
Ba2SnCl2O2
1.0
-0.908 -3.052 -3.313
-0.792 -3.219 3.182
-7.067 5.276 0.262
Ba Sn Cl O
2 1 2 2
Direct
0.388 0.388 0.775
0.612 0.612 0.225
0.000 0.000 0.000
0.191 0.191 0.382
0.809 0.809 0.618
0.000 0.500 0.000
0.500 0.000 0.000
```

Entry 12:
DFT (PBE) results for Ba2SrCl2O2 after structural relaxation.

Results
Formation energy (no corrections) ... -2511 meV/atom

POSCAR file:
```
Ba2SrCl2O2
1.0
-3.557 -1.380 -2.832
2.965 -2.910 -2.306
-1.472 -3.660 7.620
Ba Sr Cl O
2 1 2 2
Direct
0.390 0.390 0.780
0.610 0.610 0.220
0.000 0.000 0.000
0.187 0.187 0.374
0.813 0.813 0.626
0.000 0.500 0.000
0.500 0.000 0.000
```

| no. | magnetization (μB/f.u.) | calculated volume (Å³ per cell) |
| --- | --- | --- |
| 1 | 1.00 | 289.50 |
| 2 | 0.00 | 104.16 |
| 3 | 0.08 | 242.92 |
| 4 | 0.87 | 151.97 |
| 5 | 0.00 | 106.16 |
| 6 | 0.00 | 236.60 |
| 7 | 0.00 | 96.11 |
| 8 | 1.02 | 238.09 |
| 9 | 0.00 | 832.06 |
| 10 | 0.00 | 125.21 |
| 11 | 0.00 | 173.20 |
| 12 | 0.00 | 178.26 |